Ca4As3 (PBE, relaxed); calculated density = 3.55 g/cm³; symmetry = I-43d, No. 220; final energy = -59.71 eV for the cell shown; energy above the most stable polymorph in this dataset = 0.281 eV per formula unit; energy relative to the elements = -1128.7 meV/atom; magnetic moment = 0.0 Bohr magnetons per cell; volume = 180.3 Å³/f.u.
1.0
-4.4840 4.4840 4.4840
4.4840 -4.4840 4.4840
4.4840 4.4840 -4.4840
Ca As
8 6
Direct
0.0000 0.3601 0.5000
0.0000 0.8601 0.5000
0.1399 0.1399 0.1399
0.3601 0.5000 0.0000
0.5000 0.0000 0.3601
0.5000 0.0000 0.8601
0.6399 0.6399 0.6399
0.8601 0.5000 0.0000
0.1250 0.7500 0.8750
0.2500 0.6250 0.3750
0.3750 0.2500 0.6250
0.6250 0.3750 0.2500
0.7500 0.8750 0.1250
0.8750 0.1250 0.7500

---

CaAs (PBE, relaxed); calculated density = 3.04 g/cm³; symmetry = R-3m, No. 166; final energy = -16.52 eV for the cell shown; energy relative to the elements = -805.7 meV/atom; magnetic moment = 0.0 Bohr magnetons per cell; volume = 62.8 Å³/f.u.
1.0
2.5269 1.4589 5.6766
-2.5269 1.4589 5.6766
0.0000 -2.9178 5.6766
Ca As
2 2
Direct
0.2428 0.2428 0.2428
0.7572 0.7572 0.7572
0.0733 0.0733 0.0733
0.9267 0.9267 0.9267

---

Ca2As (PBE, relaxed); calculated density = 3.25 g/cm³; symmetry = P6/mmm, No. 191; final energy = -8.96 eV for the cell shown; energy above the most stable polymorph in this dataset = 2.532 eV per formula unit; energy relative to the elements = -103.3 meV/atom; magnetic moment = 0.0 Bohr magnetons per cell; volume = 79.3 Å³/f.u.
1.0
5.1349 0.0000 0.0000
-2.5674 4.4469 0.0000
0.0000 0.0000 3.4739
Ca As
2 1
Direct
0.3333 0.6667 0.0000
0.6667 0.3333 0.0000
0.0000 0.0000 0.5000

---

CaAs (PBE, relaxed); calculated density = 3.62 g/cm³; symmetry = P-6m2, No. 187; final energy = -8.13 eV for the cell shown; energy relative to the elements = -738.1 meV/atom; magnetic moment = 0.0 Bohr magnetons per cell; volume = 52.8 Å³/f.u.
1.0
3.8216 0.0000 0.0000
-1.9108 3.3096 0.0000
0.0000 0.0000 4.1764
Ca As
1 1
Direct
0.0000 0.0000 0.0000
0.3333 0.6667 0.5000

---

CaAs3 (PBE, relaxed); calculated density = 4.56 g/cm³; symmetry = P2/m, No. 10; final energy = -17.62 eV for the cell shown; energy relative to the elements = -417.3 meV/atom; magnetic moment = 0.0 Bohr magnetons per cell; volume = 96.4 Å³/f.u.
1.0
4.6420 0.0000 0.0000
0.0000 3.9460 0.0000
-1.7826 0.0000 5.2645
Ca As
1 3
Direct
0.0000 0.0000 0.0000
0.3447 0.5000 0.7749
0.5000 0.0000 0.5000
0.6553 0.5000 0.2251

---

CaAs (PBE, relaxed); calculated density = 3.75 g/cm³; symmetry = Pmmn, No. 59; final energy = -16.76 eV for the cell shown; energy relative to the elements = -863.9 meV/atom; magnetic moment = 0.0 Bohr magnetons per cell; volume = 50.9 Å³/f.u.
1.0
4.9790 0.0000 0.0000
0.0000 5.9932 0.0000
0.0000 0.0000 3.4122
Ca As
2 2
Direct
0.2500 0.2500 0.1862
0.7500 0.7500 0.8138
0.2500 0.7500 0.3194
0.7500 0.2500 0.6806

---

Ca3As (PBE, relaxed); calculated density = 2.67 g/cm³; symmetry = I4/mmm, No. 139; final energy = -25.14 eV for the cell shown; energy above the most stable polymorph in this dataset = 0.537 eV per formula unit; energy relative to the elements = -478.3 meV/atom; magnetic moment = 0.0 Bohr magnetons per cell; volume = 121.5 Å³/f.u.
1.0
-2.3474 2.3474 11.0270
2.3474 -2.3474 11.0270
2.3474 2.3474 -11.0270
Ca As
6 2
Direct
0.0000 0.5000 0.5000
0.1200 0.1200 0.0000
0.2500 0.7500 0.5000
0.5000 0.0000 0.5000
0.7500 0.2500 0.5000
0.8800 0.8800 0.0000
0.4003 0.4003 0.0000
0.5997 0.5997 0.0000

---

Ca3As (PBE, relaxed); calculated density = 2.13 g/cm³; symmetry = P-6m2, No. 187; final energy = -12.73 eV for the cell shown; energy above the most stable polymorph in this dataset = 0.374 eV per formula unit; energy relative to the elements = -519.2 meV/atom; magnetic moment = 0.3 Bohr magnetons per cell; volume = 152.1 Å³/f.u.
1.0
4.1927 0.0000 0.0000
-2.0963 3.6310 0.0000
0.0000 0.0000 9.9925
Ca As
3 1
Direct
0.0000 0.0000 0.0000
0.6667 0.3333 0.3365
0.6667 0.3333 0.6635
0.0000 0.0000 0.5000

---

Ca4As5 (PBE, relaxed); calculated density = 4.17 g/cm³; symmetry = P6_3/mcm, No. 193; final energy = -74.55 eV for the cell shown; energy relative to the elements = -669.2 meV/atom; magnetic moment = 0.0 Bohr magnetons per cell; volume = 213.0 Å³/f.u.
1.0
8.9273 0.0000 0.0000
-4.4637 7.7313 0.0000
0.0000 0.0000 6.1712
Ca As
8 10
Direct
0.0000 0.0000 0.0000
0.0000 0.0000 0.5000
0.0000 0.3854 0.2500
0.0000 0.6146 0.7500
0.3854 0.0000 0.2500
0.3854 0.3854 0.7500
0.6146 0.0000 0.7500
0.6146 0.6146 0.2500
0.0000 0.2915 0.7500
0.0000 0.7085 0.2500
0.2915 0.0000 0.7500
0.2915 0.2915 0.2500
0.3333 0.6667 0.0000
0.3333 0.6667 0.5000
0.6667 0.3333 0.0000
0.6667 0.3333 0.5000
0.7085 0.0000 0.2500
0.7085 0.7085 0.7500

---

Ca5As3 (PBE, relaxed); calculated density = 3.17 g/cm³; symmetry = C2/m, No. 12; final energy = -64.24 eV for the cell shown; energy above the most stable polymorph in this dataset = 0.751 eV per formula unit; energy relative to the elements = -1020.6 meV/atom; magnetic moment = 2.0 Bohr magnetons per cell; volume = 222.7 Å³/f.u.
1.0
3.5633 -7.9232 0.0000
3.5633 7.9232 0.0000
-2.2045 0.0000 7.8883
Ca As
10 6
Direct
0.0024 0.6230 0.7915
0.1493 0.3698 0.6187
0.2621 0.2621 0.0096
0.3698 0.1493 0.6187
0.3770 0.9976 0.2085
0.6230 0.0024 0.7915
0.6302 0.8507 0.3813
0.7379 0.7379 0.9904
0.8507 0.6302 0.3813
0.9976 0.3770 0.2085
0.0836 0.0836 0.2940
0.2568 0.7432 0.5000
0.3430 0.6570 0.0000
0.6570 0.3430 0.0000
0.7432 0.2568 0.5000
0.9164 0.9164 0.7060

---

Ca2As3 (PBE, relaxed); calculated density = 3.71 g/cm³; symmetry = P-3m1, No. 164; final energy = -21.78 eV for the cell shown; energy above the most stable polymorph in this dataset = 0.599 eV per formula unit; energy relative to the elements = -765.8 meV/atom; magnetic moment = 0.0 Bohr magnetons per cell; volume = 136.3 Å³/f.u.
1.0
4.3425 0.0000 0.0000
-2.1713 3.7607 0.0000
0.0000 0.0000 8.3487
Ca As
2 3
Direct
0.3333 0.6667 0.3222
0.6667 0.3333 0.6778
0.0000 0.0000 0.5000
0.3333 0.6667 0.9493
0.6667 0.3333 0.0507

---

Ca2As (PBE, relaxed); calculated density = 3.11 g/cm³; symmetry = I4/mmm, No. 139; final energy = -22.99 eV for the cell shown; energy above the most stable polymorph in this dataset = 0.000 eV per formula unit; energy relative to the elements = -947.3 meV/atom; magnetic moment = 0.0 Bohr magnetons per cell; volume = 82.9 Å³/f.u.
1.0
-2.2861 2.2861 7.9316
2.2861 -2.2861 7.9316
2.2861 2.2861 -7.9316
Ca As
4 2
Direct
0.0000 0.5000 0.5000
0.1792 0.1792 0.0000
0.5000 0.0000 0.5000
0.8208 0.8208 0.0000
0.3656 0.3656 0.0000
0.6344 0.6344 0.0000

---

CaAs5 (PBE, relaxed); calculated density = 5.09 g/cm³; symmetry = P6/mmm, No. 191; final energy = -25.19 eV for the cell shown; energy above the most stable polymorph in this dataset = 1.012 eV per formula unit; energy relative to the elements = 9.9 meV/atom; magnetic moment = 0.0 Bohr magnetons per cell; volume = 135.2 Å³/f.u.
1.0
5.8807 0.0000 0.0000
-2.9403 5.0928 0.0000
0.0000 0.0000 4.5151
Ca As
1 5
Direct
0.0000 0.0000 0.0000
0.0000 0.5000 0.5000
0.3333 0.6667 0.0000
0.5000 0.0000 0.5000
0.5000 0.5000 0.5000
0.6667 0.3333 0.0000

---

Ca3As (PBE, relaxed); calculated density = 2.41 g/cm³; symmetry = Pmmn, No. 59; final energy = -26.11 eV for the cell shown; energy above the most stable polymorph in this dataset = 0.051 eV per formula unit; energy relative to the elements = -599.9 meV/atom; magnetic moment = 1.3 Bohr magnetons per cell; volume = 134.5 Å³/f.u.
1.0
4.0593 0.0000 0.0000
0.0000 6.8659 0.0000
0.0000 0.0000 9.6534
Ca As
6 2
Direct
0.2500 0.0093 0.1715
0.2500 0.2500 0.5449
0.2500 0.4907 0.1715
0.7500 0.5093 0.8285
0.7500 0.7500 0.4551
0.7500 0.9907 0.8285
0.2500 0.7500 0.6733
0.7500 0.2500 0.3267

---

Ca4As3 (PBE, relaxed); calculated density = 3.49 g/cm³; symmetry = Pbam, No. 55; final energy = -241.09 eV for the cell shown; energy above the most stable polymorph in this dataset = 0.000 eV per formula unit; energy relative to the elements = -1168.8 meV/atom; magnetic moment = 0.0 Bohr magnetons per cell; volume = 183.4 Å³/f.u.
1.0
11.5832 0.0000 0.0000
0.0000 12.1395 0.0000
0.0000 0.0000 10.4338
Ca As
32 24
Direct
0.0000 0.0000 0.1843
0.0000 0.0000 0.8157
0.0944 0.2645 0.2723
0.0944 0.2645 0.7277
0.1011 0.7068 0.0000
0.1246 0.8644 0.5000
0.1759 0.5669 0.3240
0.1759 0.5669 0.6760
0.2262 0.4240 0.0000
0.2738 0.9240 0.0000
0.3241 0.0669 0.3240
0.3241 0.0669 0.6760
0.3754 0.3644 0.5000
0.3989 0.2068 0.0000
0.4056 0.7645 0.2723
0.4056 0.7645 0.7277
0.5000 0.5000 0.1843
0.5000 0.5000 0.8157
0.5944 0.2355 0.2723
0.5944 0.2355 0.7277
0.6011 0.7932 0.0000
0.6246 0.6356 0.5000
0.6759 0.9331 0.3240
0.6759 0.9331 0.6760
0.7262 0.0760 0.0000
0.7738 0.5760 0.0000
0.8241 0.4331 0.3240
0.8241 0.4331 0.6760
0.8754 0.1356 0.5000
0.8989 0.2932 0.0000
0.9056 0.7355 0.2723
0.9056 0.7355 0.7277
0.0000 0.5000 0.1226
0.0000 0.5000 0.8774
0.0393 0.4018 0.5000
0.1355 0.1144 0.5000
0.1398 0.1431 0.0000
0.1625 0.8235 0.2334
0.1625 0.8235 0.7666
0.3375 0.3235 0.2334
0.3375 0.3235 0.7666
0.3602 0.6431 0.0000
0.3645 0.6144 0.5000
0.4607 0.9018 0.5000
0.5000 0.0000 0.1226
0.5000 0.0000 0.8774
0.5393 0.0982 0.5000
0.6355 0.3856 0.5000
0.6398 0.3569 0.0000
0.6625 0.6765 0.2334
0.6625 0.6765 0.7666
0.8375 0.1765 0.2334
0.8375 0.1765 0.7666
0.8602 0.8569 0.0000
0.8645 0.8856 0.5000
0.9607 0.5982 0.5000

---

CaAs3 (PBE, relaxed); calculated density = 5.15 g/cm³; symmetry = Pm-3n, No. 223; final energy = -33.37 eV for the cell shown; energy relative to the elements = -184.1 meV/atom; magnetic moment = 0.0 Bohr magnetons per cell; volume = 85.4 Å³/f.u.
1.0
5.5491 0.0000 0.0000
0.0000 5.5491 0.0000
0.0000 0.0000 5.5491
Ca As
2 6
Direct
0.0000 0.0000 0.0000
0.5000 0.5000 0.5000
0.0000 0.2500 0.5000
0.0000 0.7500 0.5000
0.2500 0.5000 0.0000
0.5000 0.0000 0.2500
0.5000 0.0000 0.7500
0.7500 0.5000 0.0000

---

CaAs (PBE, relaxed); calculated density = 3.77 g/cm³; symmetry = P2_12_12_1, No. 19; final energy = -68.48 eV for the cell shown; energy relative to the elements = -954.7 meV/atom; magnetic moment = 0.0 Bohr magnetons per cell; volume = 50.6 Å³/f.u.
1.0
5.8032 0.0000 0.0000
0.0000 6.0494 0.0000
0.0000 0.0000 11.5338
Ca As
8 8
Direct
0.1000 0.0481 0.4726
0.1886 0.5852 0.7239
0.3114 0.4148 0.2239
0.4000 0.9519 0.9726
0.6000 0.4519 0.5274
0.6886 0.9148 0.2761
0.8114 0.0852 0.7761
0.9000 0.5481 0.0274
0.0857 0.5460 0.4530
0.1866 0.9175 0.2069
0.3134 0.0825 0.7069
0.4143 0.4540 0.9530
0.5857 0.9540 0.5470
0.6866 0.5825 0.7931
0.8134 0.4175 0.2931
0.9143 0.0460 0.0470

---

CaAs (PBE, relaxed); calculated density = 3.72 g/cm³; symmetry = Fddd, No. 70; final energy = -34.27 eV for the cell shown; energy relative to the elements = -958.6 meV/atom; magnetic moment = 0.0 Bohr magnetons per cell; volume = 51.4 Å³/f.u.
1.0
0.0000 4.8752 6.1214
3.4448 0.0000 6.1214
3.4448 4.8752 0.0000
Ca As
4 4
Direct
0.0968 0.6532 0.0968
0.3468 0.9032 0.3468
0.6532 0.0968 0.6532
0.9032 0.3468 0.9032
0.1890 0.5610 0.5610
0.4390 0.8110 0.8110
0.5610 0.1890 0.1890
0.8110 0.4390 0.4390

---

CaAs5 (PBE, relaxed); calculated density = 5.02 g/cm³; symmetry = Amm2, No. 38; final energy = -26.20 eV for the cell shown; energy above the most stable polymorph in this dataset = 0.000 eV per formula unit; energy relative to the elements = -158.8 meV/atom; magnetic moment = 0.0 Bohr magnetons per cell; volume = 137.1 Å³/f.u.
1.0
4.5355 0.0000 0.0000
0.0000 1.8462 8.1884
0.0000 -1.8462 8.1884
Ca As
1 5
Direct
0.0000 0.0000 0.0000
0.0000 0.3404 0.3404
0.0000 0.7293 0.7293
0.5000 0.1448 0.1448
0.5000 0.5398 0.5398
0.5000 0.8262 0.8262

---

CaAs3 (PBE, relaxed); calculated density = 4.33 g/cm³; symmetry = Pmm2, No. 25; final energy = -17.43 eV for the cell shown; energy relative to the elements = -370.3 meV/atom; magnetic moment = 0.0 Bohr magnetons per cell; volume = 101.5 Å³/f.u.
1.0
3.5906 0.0000 0.0000
0.0000 5.7956 0.0000
0.0000 0.0000 4.8772
Ca As
1 3
Direct
0.0000 0.0000 0.0000
0.0000 0.5000 0.0053
0.5000 0.0000 0.4935
0.5000 0.5000 0.3543